The following is a GGA-PBE calculation of a relaxed structure of RbNaAu, from Alexandria.

a = 5.162 Å, b = 5.162 Å, c = 4.840 Å
α = 90.00°, β = 90.00°, γ = 120.00°
Positions (direct):
Rb1 0.000 0.000 0.000
Na1 0.667 0.333 0.500
Au1 0.333 0.667 0.500

Results
Uncorrected energy   -2.022 eV/atom